[1]
Crystalline HgC3 at its relaxed geometry. Source: Alexandria via LeMat-Bulk, functional PBE.

The structure in POSCAR format:
```
HgC3
1.0
3.804 0.000 0.000
-1.268 3.586 0.000
-1.268 -1.793 3.106
C Hg
3 1
Direct
0.000 0.000 0.000
0.500 0.500 0.000
0.000 0.500 0.500
0.500 0.000 0.500
```

- Calculated volume: 42 Å³/cell
- Uncorrected energy: -3.73 eV per atom
- Mass density: 9.27 Mg/m³
- ΔE to the lowest computed polymorph: 58.22 kcal/mol of atoms
- Total magnetization: 0.0 μB/f.u.

---

[2]
Crystalline CeErScSn at its relaxed geometry. Source: Alexandria via LeMat-Bulk, functional PBE.

The structure in POSCAR format:
```
CeErScSn
1.0
5.225 0.000 0.000
2.613 4.525 0.000
2.613 1.508 4.266
Sc Sn Ce Er
1 1 1 1
Direct
0.750 0.750 0.750
0.000 0.000 0.000
0.500 0.500 0.500
0.250 0.250 0.250
```

- Calculated volume: 101 Å³/cell
- Uncorrected energy: -5.41 eV per atom
- Mass density: 7.75 Mg/m³
- Total magnetization: 1.7 μB/f.u.